Record 1
The following is a DFT calculation (PBE) of a relaxed structure of BaAgH6Rh.

```
BaAgH6Rh
1.0
5.0983 0.0000 0.0000
-2.5492 4.4153 0.0000
0.0000 0.0000 4.9837
Ba Ag H Rh
1 1 6 1
direct
0.0000 0.0000 0.0000 Ba
0.3333 0.6667 0.5000 Ag
0.4352 0.0499 0.7049 H
0.4352 0.3853 0.2951 H
0.6147 0.0499 0.2951 H
0.6147 0.5648 0.7049 H
0.9501 0.3853 0.7049 H
0.9501 0.5648 0.2951 H
0.6667 0.3333 0.5000 Rh
```

Output
Raw total energy: -3.858 eV/atom
Space group: P312, No. 149



Record 2
The following is a DFT calculation (PBE) of a relaxed structure of Ba2AgHRh.

```
Ba2AgHRh
1.0
5.7685 0.0000 0.0000
0.0000 5.7685 0.0000
0.0000 0.0000 3.7127
Ba Ag H Rh
2 1 1 1
direct
0.0000 0.5000 0.0000 Ba
0.5000 0.0000 0.0000 Ba
0.0000 0.0000 0.5000 Ag
0.5000 0.5000 0.0000 H
0.5000 0.5000 0.5000 Rh
```

Output
Raw total energy: -3.749 eV/atom
Fermi-level density of states: 0.402 states/eV per atom
Space group: P4/mmm, No. 123



Record 3
The following is a DFT calculation (PBE) of a relaxed structure of Ba5Ag2HRh.

```
Ba5Ag2HRh
1.0
2.2967 -10.0566 0.0000
2.2967 10.0566 0.0000
0.0000 0.0000 14.4497
Ba Ag H Rh
10 4 2 2
direct
0.0020 0.9980 0.5000 Ba
0.1503 0.8497 0.7484 Ba
0.1921 0.8079 0.1088 Ba
0.2049 0.7951 0.4012 Ba
0.4515 0.5485 0.7381 Ba
0.5485 0.4515 0.2381 Ba
0.7951 0.2049 0.9012 Ba
0.8079 0.1921 0.6088 Ba
0.8497 0.1503 0.2484 Ba
0.9980 0.0020 0.0000 Ba
0.3775 0.6225 0.0618 Ag
0.3840 0.6160 0.4306 Ag
0.6160 0.3840 0.9306 Ag
0.6225 0.3775 0.5618 Ag
0.0611 0.9389 0.1529 H
0.9389 0.0611 0.6529 H
0.3004 0.6996 0.7561 Rh
0.6996 0.3004 0.2561 Rh
```

Output
Raw total energy: -3.136 eV/atom
Fermi-level density of states: 0.611 states/eV per atom
Space group: Cmc2_1, No. 36



Record 4
The following is a DFT calculation (PBE) of a relaxed structure of BaAgH2S.

```
BaAgH2S
1.0
4.1151 0.0000 0.0000
0.0000 4.1151 0.0000
0.0000 0.0000 7.5987
Ba Ag H S
1 1 2 1
direct
0.0000 0.0000 0.0000 Ba
0.0000 0.0000 0.5000 Ag
0.0000 0.5000 0.5000 H
0.5000 0.0000 0.5000 H
0.5000 0.5000 0.0000 S
```

Output
Raw total energy: -3.276 eV/atom
Fermi-level density of states: 0.551 states/eV per atom
Space group: P4/mmm, No. 123



Record 5
The following is a DFT calculation (PBE) of a relaxed structure of BaAg2SbH.

```
BaAg2SbH
1.0
2.4180 -6.1283 0.0000
2.4180 6.1283 0.0000
0.0000 0.0000 7.7090
Ba Ag Sb H
2 4 2 2
direct
0.0735 0.9265 0.7500 Ba
0.9265 0.0735 0.2500 Ba
0.3513 0.6487 0.5615 Ag
0.3513 0.6487 0.9385 Ag
0.6487 0.3513 0.0615 Ag
0.6487 0.3513 0.4385 Ag
0.2129 0.7871 0.2500 Sb
0.7871 0.2129 0.7500 Sb
0.5000 0.5000 0.0000 H
0.5000 0.5000 0.5000 H
```

Output
Raw total energy: -3.419 eV/atom
Fermi-level density of states: 0.041 states/eV per atom
Space group: Cmcm, No. 63



Record 6
The following is a DFT calculation (PBE) of a relaxed structure of BaAg2SnH.

```
BaAg2SnH
1.0
6.4488 0.0000 0.0000
0.0000 6.4488 0.0000
0.0000 0.0000 6.8316
Ba Ag Sn H
1 2 1 1
direct
0.0000 0.0000 0.0000 Ba
0.0000 0.5000 0.0000 Ag
0.5000 0.0000 0.0000 Ag
0.0000 0.0000 0.5000 Sn
0.5000 0.5000 0.5000 H
```

Output
Raw total energy: -1.683 eV/atom
Fermi-level density of states: 1.259 states/eV per atom
Space group: P4/mmm, No. 123